VASP calculation (PBE with a Hubbard U) on a geometry-optimized TlMo2P3O13 structure.

Calculated values
total magnetic moment: 8.00 μB per cell
N(E_F): 0.0 states/eV per cell
total energy: -7.055 eV/atom
theoretical density: 3.85 g/cm³

abc: 9.8843 19.4674 6.5101
angles: 90.00 106.28 90.00
Space group P2_1/c (No. 14)
Symmetry-distinct sites (fractional):
Tl  0.1511  0.1623  0.4712 (multiplicity 4)
Mo  0.1202  0.6218  0.6866 (multiplicity 4)
Mo  0.4385  0.1620  0.1266 (multiplicity 4)
P  0.1993  0.0346  0.9887 (multiplicity 4)
P  0.2101  0.5895  0.2335 (multiplicity 4)
P  0.4667  0.6745  0.8327 (multiplicity 4)
O  0.0685  0.7059  0.6867 (multiplicity 4)
O  0.0910  0.0908  0.8989 (multiplicity 4)
O  0.1223  0.6242  0.3663 (multiplicity 4)
O  0.1262  0.5964  0.9970 (multiplicity 4)
O  0.1583  0.5147  0.6424 (multiplicity 4)
O  0.2106  0.5080  0.2797 (multiplicity 4)
O  0.2849  0.2099  0.0674 (multiplicity 4)
O  0.3297  0.6329  0.7746 (multiplicity 4)
O  0.3442  0.0665  0.0879 (multiplicity 4)
O  0.3625  0.6120  0.2857 (multiplicity 4)
O  0.4330  0.7480  0.3190 (multiplicity 4)
O  0.4420  0.1530  0.4419 (multiplicity 4)
O  0.4421  0.1536  0.8160 (multiplicity 4)